The following is a PBE-GGA calculation of LiY2MgH after structural relaxation, from Alexandria.

The energy comes out at -20.246 eV for the cell shown. The volume comes out at 21.070 A^3/atom. The calculation puts the density of states at the Fermi level at 4.02 states/eV/f.u. Its energy above the most stable polymorph in this dataset is 81.6 meV/atom. The calculation puts the size of the total moment at 0.00 μB per cell.

Geometry as CIF:
```
data_LiY2MgH
_chemical_formula_sum 'Li1 Y2 Mg1 H1'
_cell_length_a 5.068
_cell_length_b 5.068
_cell_length_c 4.102
_cell_angle_alpha 90.00
_cell_angle_beta 90.00
_cell_angle_gamma 90.00
_symmetry_space_group_name_H-M 'P 4/m m m'
_symmetry_Int_Tables_number 123
_symmetry_space_group_name_Hall '-P 4 2'
loop_
_atom_site_label
_atom_site_type_symbol
_atom_site_fract_x
_atom_site_fract_y
_atom_site_fract_z
Li1 Li 0.000 0.000 0.000
Y1 Y 0.000 0.500 0.500
Mg1 Mg 0.500 0.500 0.000
H1 H 0.500 0.500 0.500
```

The following is a PBE-GGA calculation of Ac2Tb3Rh2 after structural relaxation, from Alexandria.

The energy comes out at -80.956 eV for the cell shown. For the formation energy, the calculation gives -0.5239 eV per atom. The volume comes out at 29.484 A^3/atom. The calculation puts the density of states at the Fermi level at 7.19 states/eV/f.u. The calculation puts the size of the total moment at 0.00 μB per cell.

Geometry as CIF:
```
data_Ac2Tb3Rh2
_chemical_formula_sum 'Ac4 Tb6 Rh4'
_cell_length_a 12.593
_cell_length_b 3.940
_cell_length_c 9.317
_cell_angle_alpha 90.00
_cell_angle_beta 116.75
_cell_angle_gamma 90.00
_symmetry_space_group_name_H-M 'C 1 2/m 1'
_symmetry_Int_Tables_number 12
_symmetry_space_group_name_Hall '-C 2y'
loop_
_atom_site_label
_atom_site_type_symbol
_atom_site_fract_x
_atom_site_fract_y
_atom_site_fract_z
Ac1 Ac 0.163 0.000 0.298
Tb1 Tb 0.000 0.500 0.500
Tb2 Tb 0.122 0.500 0.924
Rh1 Rh 0.170 0.000 0.746
```

The following is a PBE-GGA calculation of NaTc2Ni after structural relaxation, from Alexandria.

The energy comes out at -94.295 eV for the cell shown. For the formation energy, the calculation gives 1.0647 eV per atom. The volume comes out at 14.246 A^3/atom. The calculation puts the density of states at the Fermi level at 4.90 states/eV/f.u. Its energy above the most stable polymorph in this dataset is 92.5 meV/atom. The calculation puts the size of the total moment at 6.96 μB per cell.

Geometry as CIF:
```
data_NaTc2Ni
_chemical_formula_sum 'Na4 Tc8 Ni4'
_cell_length_a 6.108
_cell_length_b 6.108
_cell_length_c 6.108
_cell_angle_alpha 90.00
_cell_angle_beta 90.00
_cell_angle_gamma 90.00
_symmetry_space_group_name_H-M 'F m -3 m'
_symmetry_Int_Tables_number 225
_symmetry_space_group_name_Hall '-F 4 2 3'
loop_
_atom_site_label
_atom_site_type_symbol
_atom_site_fract_x
_atom_site_fract_y
_atom_site_fract_z
Na1 Na 0.000 0.000 0.000
Tc1 Tc 0.250 0.250 0.250
Ni1 Ni 0.000 0.000 0.500
```